1.
# PBE-GGA Ba2CuTe, relaxed
# Crystal system: monoclinic
# Energy relative to the elements, uncorrected in meV per atom: -724
# V in Å³ per atom: 35.58
# Mass density in Mg/m³: 5.44
# Spin magnetization in μB/f.u.: 0.00
data_Ba2CuTe
_cell_length_a 4.2766
_cell_length_b 5.7677
_cell_length_c 5.7694
_cell_angle_alpha 90.00
_cell_angle_beta 90.01
_cell_angle_gamma 90.00
_symmetry_space_group_name_H-M 'P 1 m 1'
_symmetry_Int_Tables_number 6
loop_
_symmetry_equiv_pos_as_xyz
'x,y,z'
'x,-y,z'
loop_
_atom_site_label
_atom_site_type_symbol
_atom_site_fract_x
_atom_site_fract_y
_atom_site_fract_z
Ba1 Ba 0.0000 0.0000 0.0000
Ba2 Ba 0.0007 0.5000 0.5001
Cu1 Cu 0.4974 0.0000 0.4986
Te1 Te 0.5006 0.5000 0.0002

---

2.
# PBE-GGA ZnBOsCl2, relaxed
# Crystal system: tetragonal
# Energy relative to the elements, uncorrected in meV per atom: 1693
# V in Å³ per atom: 22.94
# Mass density in Mg/m³: 4.88
# Spin magnetization in μB/f.u.: 3.00
data_ZnBOsCl2
_cell_length_a 4.5516
_cell_length_b 4.5516
_cell_length_c 5.5364
_cell_angle_alpha 90.00
_cell_angle_beta 90.00
_cell_angle_gamma 90.00
_symmetry_space_group_name_H-M 'P 4/m m m'
_symmetry_Int_Tables_number 123
_symmetry_space_group_name_Hall '-P 4 2'
loop_
_atom_site_label
_atom_site_type_symbol
_atom_site_fract_x
_atom_site_fract_y
_atom_site_fract_z
Zn1 Zn 0.0000 0.0000 0.0000
B1 B 0.5000 0.5000 0.5000
Os1 Os 0.0000 0.0000 0.5000
Cl1 Cl 0.0000 0.5000 0.0000

---

3.
# PBE-GGA InFe4P, relaxed
# Crystal system: cubic
# V in Å³ per atom: 13.70
# ΔE_f in meV/atom: 305
# Mass density in Mg/m³: 7.46
# Spin magnetization in μB/f.u.: 8.91
data_InFe4P
_cell_length_a 6.9028
_cell_length_b 6.9028
_cell_length_c 6.9028
_cell_angle_alpha 90.00
_cell_angle_beta 90.00
_cell_angle_gamma 90.00
_symmetry_space_group_name_H-M 'F -4 3 m'
_symmetry_Int_Tables_number 216
_symmetry_space_group_name_Hall 'F -4 2 3'
loop_
_atom_site_label
_atom_site_type_symbol
_atom_site_fract_x
_atom_site_fract_y
_atom_site_fract_z
In1 In 0.0000 0.0000 0.0000
Fe1 Fe 0.1251 0.1251 0.3749
P1 P 0.2500 0.2500 0.7500

---

4.
# PBE-GGA TmTc12P6, relaxed
# Crystal system: trigonal
# V in Å³ per atom: 15.24
# ΔE_f in meV/atom: -404
# Mass density in Mg/m³: 8.78
# Spin magnetization in μB/f.u.: 0.00
data_TmTc12P6
_cell_length_a 10.8151
_cell_length_b 10.8151
_cell_length_c 8.5744
_cell_angle_alpha 90.00
_cell_angle_beta 90.00
_cell_angle_gamma 120.00
_symmetry_space_group_name_H-M 'R -3 m'
_symmetry_Int_Tables_number 166
_symmetry_space_group_name_Hall '-R 3 2"'
loop_
_atom_site_label
_atom_site_type_symbol
_atom_site_fract_x
_atom_site_fract_y
_atom_site_fract_z
Tm1 Tm 0.0000 0.0000 0.0000
Tc1 Tc 0.0000 0.3661 0.5000
Tc2 Tc 0.0889 0.1778 0.3618
P1 P 0.0347 0.5174 0.2830

---

5.
# PBE-GGA Pm2HoCd3, relaxed
# Crystal system: tetragonal
# V in Å³ per atom: 27.39
# ΔE_f in meV/atom: -315
# Mass density in Mg/m³: 8.00
# Spin magnetization in μB/f.u.: 1.02
data_Pm2HoCd3
_cell_length_a 3.7857
_cell_length_b 3.7857
_cell_length_c 11.4664
_cell_angle_alpha 90.00
_cell_angle_beta 90.00
_cell_angle_gamma 90.00
_symmetry_space_group_name_H-M 'P 4/m m m'
_symmetry_Int_Tables_number 123
_symmetry_space_group_name_Hall '-P 4 2'
loop_
_atom_site_label
_atom_site_type_symbol
_atom_site_fract_x
_atom_site_fract_y
_atom_site_fract_z
Pm1 Pm 0.0000 0.0000 0.1701
Ho1 Ho 0.0000 0.0000 0.5000
Cd1 Cd 0.5000 0.5000 0.0000
Cd2 Cd 0.5000 0.5000 0.3434

---

6.
# PBE-GGA Pm3TePbN, relaxed
# Crystal system: monoclinic
# Energy relative to the elements, uncorrected in meV per atom: -1061
# V in Å³ per atom: 31.86
# Mass density in Mg/m³: 6.81
# Spin magnetization in μB/f.u.: 0.00
data_Pm3TePbN
_cell_length_a 9.5218
_cell_length_b 4.2079
_cell_length_c 9.6297
_cell_angle_alpha 90.00
_cell_angle_beta 97.71
_cell_angle_gamma 90.00
_symmetry_space_group_name_H-M 'P 1 21/m 1'
_symmetry_Int_Tables_number 11
loop_
_symmetry_equiv_pos_as_xyz
'x,y,z'
'-x,-y,-z'
'-x,y+1/2,-z'
'x,-y+1/2,z'
loop_
_atom_site_label
_atom_site_type_symbol
_atom_site_fract_x
_atom_site_fract_y
_atom_site_fract_z
Pm1 Pm 0.0009 0.2500 0.1434
Pm2 Pm 0.3324 0.7500 0.1054
Pm3 Pm 0.3494 0.7500 0.6078
Te1 Te 0.3189 0.2500 0.3615
Pb1 Pb 0.3005 0.2500 0.8395
N1 N 0.0962 0.7500 0.0858